Record 1
Entry from Alexandria: crystalline MgAl2Ga at its relaxed geometry (PBE).

For the formation energy, the calculation gives 153 meV/atom.

The structure belongs to space group I-42d (No. 122); the cell edges are 4.0218, 4.0218 and 19.7825 Å and the angles 90.00°, 90.00° and 90.00°. The distinct sites, in fractional coordinates, are Mg at (0.0000, 0.0000, 0.0000), Al at (0.2425, 0.2500, 0.6250) and Ga at (0.0000, 0.0000, 0.5000).

***

Record 2
Entry from Alexandria: crystalline TbLuScCd at its relaxed geometry (PBE).

For the formation energy, the calculation gives -34 meV/atom.

The structure belongs to space group F-43m (No. 216); the cell edges are 7.5011, 7.5011 and 7.5011 Å and the angles 90.00°, 90.00° and 90.00°. The distinct sites, in fractional coordinates, are Tb at (0.0000, 0.0000, 0.0000), Lu at (0.0000, 0.0000, 0.5000), Sc at (0.2500, 0.2500, 0.2500) and Cd at (0.2500, 0.2500, 0.7500).

***

Record 3
Entry from Alexandria: crystalline Cd2HgBr at its relaxed geometry (PBE).

Its formation energy (no corrections) is -16.9 kJ/mol of atoms. The calculation puts the energy above the most stable polymorph in this dataset at 31 meV per atom.

The structure belongs to space group Pm (No. 6); the cell edges are 3.7400, 3.6800 and 8.3764 Å and the angles 90.00°, 90.50° and 90.00°. The distinct sites, in fractional coordinates, are Cd at (0.0000, 0.0000, 0.0000), Cd at (0.0196, 0.5000, 0.2735), Hg at (0.4963, 0.5000, 0.8093) and Br at (0.5180, 0.0000, 0.4586).

***

Record 4
Entry from Alexandria: crystalline Ho3Tm2Al3 at its relaxed geometry (PBE).

For the formation energy, the calculation gives -304 meV/atom.

The structure belongs to space group Immm (No. 71); the cell edges are 3.6313, 5.1248 and 21.3679 Å and the angles 90.00°, 90.00° and 90.00°. The distinct sites, in fractional coordinates, are Ho at (0.0000, 0.0000, 0.0000), Ho at (0.0000, 0.5000, 0.1212), Tm at (0.0000, 0.0000, 0.2312), Al at (0.0000, 0.0000, 0.5000) and Al at (0.0000, 0.5000, 0.3828).

***

Record 5
Entry from Alexandria: crystalline Cs2NbAuS4 at its relaxed geometry (PBE).

Its formation energy (no corrections) is -97.9 kJ/mol of atoms.

The structure belongs to space group Fddd (No. 70, origin choice 2); the cell edges are 5.8756, 14.5835 and 24.9031 Å and the angles 90.00°, 90.00° and 90.00°. The distinct sites, in fractional coordinates, are Cs at (0.1250, 0.1250, 0.3011), Nb at (0.1250, 0.1250, 0.6250), Au at (0.1250, 0.1250, 0.1250) and S at (0.0958, 0.2801, 0.8212).

***

Record 6
Entry from Alexandria: crystalline TiCoGeBi2 at its relaxed geometry (PBE).

For the formation energy, the calculation gives 518 meV/atom. The calculation puts the energy above the most stable polymorph in this dataset at 0 meV per atom.

The structure belongs to space group P4/mmm (No. 123); the cell edges are 5.2405, 5.2405 and 4.3277 Å and the angles 90.00°, 90.00° and 90.00°. The distinct sites, in fractional coordinates, are Ti at (0.0000, 0.0000, 0.0000), Co at (0.5000, 0.5000, 0.5000), Ge at (0.5000, 0.5000, 0.0000) and Bi at (0.0000, 0.5000, 0.5000).

***

Record 7
Entry from Alexandria: crystalline LaSmMnAl at its relaxed geometry (PBE).

For the formation energy, the calculation gives -6 meV/atom.

The structure belongs to space group F-43m (No. 216); the cell edges are 7.4471, 7.4471 and 7.4471 Å and the angles 90.00°, 90.00° and 90.00°. The distinct sites, in fractional coordinates, are La at (0.0000, 0.0000, 0.0000), Sm at (0.0000, 0.0000, 0.5000), Mn at (0.2500, 0.2500, 0.2500) and Al at (0.2500, 0.2500, 0.7500).

***

Record 8
Entry from Alexandria: crystalline LiBiPtPb2 at its relaxed geometry (PBE).

For the formation energy, the calculation gives -95 meV/atom.

The structure belongs to space group P4/mmm (No. 123); the cell edges are 5.4044, 5.4044 and 4.8048 Å and the angles 90.00°, 90.00° and 90.00°. The distinct sites, in fractional coordinates, are Li at (0.0000, 0.0000, 0.0000), Bi at (0.5000, 0.5000, 0.0000), Pt at (0.0000, 0.0000, 0.5000) and Pb at (0.0000, 0.5000, 0.5000).

***

Record 9
Entry from Alexandria: crystalline RbTbTl2F6 at its relaxed geometry (PBE).

Its formation energy (no corrections) is -281.7 kJ/mol of atoms.

The structure belongs to space group P-1 (No. 2); the cell edges are 6.6891, 6.6893 and 6.6930 Å and the angles 62.13°, 62.11° and 62.11°. The distinct sites, in fractional coordinates, are Rb at (0.0000, 0.0000, 0.0000), Tb at (0.5000, 0.5000, 0.5000), Tl at (0.2700, 0.2700, 0.2705), F at (0.1777, 0.6857, 0.3872), F at (0.3135, 0.6117, 0.8230) and F at (0.3875, 0.1777, 0.6841).

***

Record 10
Entry from Alexandria: crystalline Tm3TlP at its relaxed geometry (PBE).

For the formation energy, the calculation gives -787 meV/atom. The calculation puts the energy above the most stable polymorph in this dataset at 0 meV per atom.

The structure belongs to space group Pnma (No. 62); the cell edges are 8.8398, 3.9307 and 14.8249 Å and the angles 90.00°, 90.00° and 90.00°. The distinct sites, in fractional coordinates, are Tm at (0.0298, 0.2500, 0.1094), Tm at (0.1643, 0.2500, 0.5120), Tm at (0.2017, 0.7500, 0.2856), Tl at (0.0790, 0.7500, 0.6742) and P at (0.1624, 0.2500, 0.9441).

***

Record 11
Entry from Alexandria: crystalline Er8Os2Au at its relaxed geometry (PBE).

For the formation energy, the calculation gives -288 meV/atom. The calculation puts the energy above the most stable polymorph in this dataset at 48 meV per atom.

The structure belongs to space group Cm (No. 8); the cell edges are 8.5902, 12.5777 and 5.5892 Å and the angles 90.00°, 105.76° and 90.00°. The distinct sites, in fractional coordinates, are Er at (0.0000, 0.0000, 0.0000), Er at (0.0707, 0.3676, 0.7876), Er at (0.1692, 0.1330, 0.6035), Er at (0.2480, 0.5000, 0.3910), Er at (0.3709, 0.2340, 0.1938), Os at (0.3705, 0.3132, 0.6956) and Au at (0.3753, 0.0000, 0.0983).

***

- Number 9 is which compound?
  RbTbTl2F6